VASP calculation (PBE) on crystalline OsI3O at its relaxed geometry.

Calculated volume = 30.0 Å³ per atom
Total energy = -4.40 eV per atom
Mass density = 6.5 g cm⁻³

Cell lengths 12.7013, 12.7013, 3.7152 Å; angles 90.00, 90.00, 90.00 degrees
Closest atoms and distances in Å follow each position.
Fractional coordinates of all 20 atoms:
1 O 0.8886 0.1114 0.0000  2 Os 1.86
2 I 0.6033 0.3967 0.0000  2 Os 2.74
3 O 0.6114 0.6114 0.5000  2 Os 1.86
4 I 0.3967 0.6033 0.0000  2 Os 2.74
5 I 0.8894 0.3255 0.5000  1 Os 2.71
6 I 0.6745 0.1106 0.5000  1 Os 2.71
7 Os 0.8878 0.1122 0.5000  2 O 1.86
8 O 0.3886 0.3886 0.5000  2 Os 1.86
9 I 0.6106 0.8255 0.0000  1 Os 2.71
10 I 0.1106 0.6745 0.5000  1 Os 2.71
11 I 0.3255 0.8894 0.5000  1 Os 2.71
12 I 0.8967 0.8967 0.5000  2 Os 2.74
13 Os 0.6122 0.6122 0.0000  2 O 1.86
14 O 0.1114 0.8886 0.0000  2 Os 1.86
15 I 0.1745 0.3894 0.0000  1 Os 2.71
16 I 0.8255 0.6106 0.0000  1 Os 2.71
17 I 0.3894 0.1745 0.0000  1 Os 2.71
18 I 0.1033 0.1033 0.5000  2 Os 2.74
19 Os 0.1122 0.8878 0.5000  2 O 1.86
20 Os 0.3878 0.3878 0.0000  2 O 1.86


VASP calculation (PBE) on crystalline ScUGe at its relaxed geometry.

Calculated volume = 25.1 Å³ per atom
Total energy = -7.31 eV per atom
Mass density = 7.8 g cm⁻³

Cell lengths 4.7384, 4.7384, 4.7384 Å; angles 60.00, 60.00, 60.00 degrees
Closest atoms and distances in Å follow each position.
Fractional coordinates of all 3 atoms:
1 Sc 0.2500 0.2500 0.2500  4 Ge 2.90
2 U 0.7500 0.7500 0.7500  4 Ge 2.90
3 Ge 0.0000 0.0000 0.0000  4 U 2.90, 4 Sc 2.90


VASP calculation (PBE) on crystalline YCu2 at its relaxed geometry.

Energy of formation = 340 meV per atom
Calculated volume = 21.9 Å³ per atom
Mass density = 5.5 g cm⁻³

Cell lengths 4.5316, 4.5316, 4.5316 Å; angles 60.00, 60.00, 60.00 degrees
Closest atoms and distances in Å follow each position.
Fractional coordinates of all 3 atoms:
1 Cu 0.2500 0.2500 0.2500  4 Y 2.78
2 Cu 0.7500 0.7500 0.7500  4 Y 2.78
3 Y 0.0000 0.0000 0.0000  8 Cu 2.78


VASP calculation (PBE) on crystalline ZrH4NCl4 at its relaxed geometry.

Calculated volume = 18.8 Å³ per atom
Total energy = -4.75 eV per atom
Mass density = 2.2 g cm⁻³

Cell lengths 8.8198, 8.8198, 8.8198 Å; angles 131.58, 131.58, 70.90 degrees
Closest atoms and distances in Å follow each position.
Fractional coordinates of all 20 atoms:
1 H 0.0916 0.1478 0.1555  1 N 1.04
2 Cl 0.1835 0.2325 0.5919  1 H 2.30, 1 Zr 2.45
3 Cl 0.4084 0.8165 0.0490  1 H 2.30, 1 Zr 2.45
4 Cl 0.5665 0.0175 0.9081  1 H 2.30, 1 Zr 2.45
5 H 0.6584 0.1022 0.3445  1 N 1.04
6 Cl 0.3416 0.4335 0.4510  1 H 2.30, 1 Zr 2.45
7 Cl 0.7675 0.3594 0.9510  1 H 2.30, 1 Zr 2.45
8 Cl 0.1094 0.6584 0.0919  1 H 2.30, 1 Zr 2.45
9 Zr 0.2500 0.7500 0.5000  4 Cl 2.45
10 Cl 0.9825 0.8906 0.5490  1 H 2.30, 1 Zr 2.45
11 Cl 0.6406 0.5916 0.4081  1 H 2.30, 1 Zr 2.45
12 H 0.6861 0.3416 0.4438  1 N 1.04
13 H 0.8522 0.0077 0.9438  1 N 1.04
14 N 0.0000 0.0000 0.0000  4 H 1.04
15 Zr 0.5000 0.5000 0.0000  4 Cl 2.45
16 H 0.7577 0.3139 0.6555  1 N 1.04
17 H 0.0639 0.9084 0.0562  1 N 1.04
18 H 0.9923 0.9361 0.8445  1 N 1.04
19 H 0.8978 0.2423 0.5562  1 N 1.04
20 N 0.7500 0.2500 0.5000  4 H 1.04